Record 1
## Zr3VSi (PBE)

Data for crystalline Zr3VSi at its relaxed geometry.

Output
N(E_F): 6.76 states/eV/f.u.
Electronic total energy: -37.84 eV per cell
Total magnetization: 2.8 μB/cell
Crystal system: cubic
Uncorrected formation energy: 10.82 kcal/mol of atoms

a = 4.953 Å, b = 4.953 Å, c = 4.953 Å
α = 90.00°, β = 90.00°, γ = 90.00°
Space group Pm-3m (No. 221)
Unique sites:
Zr  0.000  0.000  0.500 [3 per cell]
V  0.500  0.500  0.500 [1 per cell]
Si  0.000  0.000  0.000 [1 per cell]

***

Record 2
## GeOF2 (PBE)

Data for crystalline GeOF2 at its relaxed geometry.

Output
N(E_F): 2.01 states/eV/f.u.
Electronic total energy: -64.31 eV per cell
Total magnetization: 3.5 μB/cell
Crystal system: tetragonal
Uncorrected formation energy: -15.90 kcal/mol of atoms

a = 3.440 Å, b = 3.440 Å, c = 14.645 Å
α = 90.00°, β = 90.00°, γ = 90.00°
Space group I-42d (No. 122)
Unique sites:
Ge  0.000  0.000  0.000 [4 per cell]
O  0.000  0.000  0.500 [4 per cell]
F  0.221  0.250  0.125 [8 per cell]